14
Lattice="2.038 -9.709 0.000 2.038 9.709 0.000 0.000 0.000 7.511" Properties=species:S:1:pos:R:3 comment="Tb2Zn2Au3 | Alexandria | PBE | optimized geometry" sg="Cmcm, No. 63" final_energy_ev_per_cell=-52.131 pbc="T T T"
Tb 2.038 8.580 5.633
Tb 2.038 6.721 1.878
Tb 2.038 -6.721 5.633
Tb 2.038 -8.580 1.878
Zn 2.038 3.738 0.407
Zn 2.038 3.738 3.348
Zn 2.038 -3.738 4.163
Zn 2.038 -3.738 7.104
Au 2.038 5.286 5.633
Au 2.038 1.271 4.204
Au 2.038 1.271 7.062
Au 2.038 -1.271 0.449
Au 2.038 -1.271 3.306
Au 2.038 -5.286 1.878

4
Lattice="2.169 1.252 8.954 -2.169 1.252 8.954 0.000 -2.505 8.954" Properties=species:S:1:pos:R:3 comment="CaCdCl2 | Alexandria | PBE | optimized geometry" sg="R-3m, No. 166" polymorph_energy_ev_per_fu=3.23 formation_energy_uncorrected_ev_per_atom=-0.83 pbc="T T T"
Ca 0.000 0.000 0.000
Cd 0.000 0.000 13.431
Cl 0.000 0.000 2.559
Cl 0.000 0.000 24.304

10
Lattice="7.528 0.000 0.000 0.000 7.528 0.000 0.000 0.000 4.087" Properties=species:S:1:pos:R:3 comment="Hf2Tl2Cd | Alexandria | PBE | optimized geometry" sg="P4/mbm, No. 127" polymorph_energy_ev_per_fu=0.15 pbc="T T T"
Hf 1.286 2.478 0.000
Hf 2.478 6.242 0.000
Hf 5.050 1.286 0.000
Hf 6.242 5.050 0.000
Tl 1.015 4.779 2.043
Tl 2.749 1.015 2.043
Tl 4.779 6.513 2.043
Tl 6.513 2.749 2.043
Cd 0.000 0.000 2.043
Cd 3.764 3.764 2.043

6
Lattice="3.194 0.000 0.000 0.000 3.194 0.000 0.000 0.000 10.956" Properties=species:S:1:pos:R:3 comment="TiCdAg | Alexandria | PBE | optimized geometry" sg="P4/nmm, No. 129" polymorph_energy_ev_per_fu=0.00 pbc="T T T"
Ti 0.798 0.798 0.830
Ti 2.395 2.395 10.126
Cd 0.798 0.798 4.431
Cd 2.395 2.395 6.525
Ag 0.798 0.798 8.413
Ag 2.395 2.395 2.543

no.,calculated volume (Å³/f.u.)
1,148.6
2,145.9
3,115.8
4,55.9